1.
The following is a DFT calculation (GGA-PBE) of crystalline BaCu2Pb at its relaxed geometry.

Computed properties:
ΔE_f ... 2.555 kcal/mol of atoms

CIF file:
```
data_BaCu2Pb
_space_group_name_H-M_alt 'I m m 2'
_space_group_IT_number 44
_space_group_name_Hall 'I 2 -2'
_cell_length_a 4.3420
_cell_length_b 6.1316
_cell_length_c 8.2394
_cell_angle_alpha 90.00
_cell_angle_beta 90.00
_cell_angle_gamma 90.00
loop_
_atom_site_label
_atom_site_type_symbol
_atom_site_fract_x
_atom_site_fract_y
_atom_site_fract_z
_atom_site_occupancy
Ba1 Ba 0.0000 0.0000 0.0000 1
Cu1 Cu 0.0000 0.0000 0.4620 1
Cu2 Cu 0.0000 0.5000 0.8282 1
Pb1 Pb 0.0000 0.5000 0.1786 1
```

=====

2.
The following is a DFT calculation (GGA-PBE) of crystalline Ba2Cu2Pb at its relaxed geometry.

Computed properties:
ΔE_f ... -2.466 kcal/mol of atoms

CIF file:
```
data_Ba2Cu2Pb
_space_group_name_H-M_alt 'I 4/m m m'
_space_group_IT_number 139
_space_group_name_Hall '-I 4 2'
_cell_length_a 6.4030
_cell_length_b 6.4030
_cell_length_c 7.8707
_cell_angle_alpha 90.00
_cell_angle_beta 90.00
_cell_angle_gamma 90.00
loop_
_atom_site_label
_atom_site_type_symbol
_atom_site_fract_x
_atom_site_fract_y
_atom_site_fract_z
_atom_site_occupancy
Ba1 Ba 0.0000 0.5000 0.2500 1
Cu1 Cu 0.0000 0.0000 0.1492 1
Pb1 Pb 0.0000 0.0000 0.5000 1
```

=====

3.
The following is a DFT calculation (GGA-PBE) of crystalline Ba2Cu2Pb at its relaxed geometry.

Computed properties:
ΔE_f ... -1.362 kcal/mol of atoms

CIF file:
```
data_Ba2Cu2Pb
_space_group_name_H-M_alt 'I 4/m m m'
_space_group_IT_number 139
_space_group_name_Hall '-I 4 2'
_cell_length_a 3.7850
_cell_length_b 3.7850
_cell_length_c 20.8082
_cell_angle_alpha 90.00
_cell_angle_beta 90.00
_cell_angle_gamma 90.00
loop_
_atom_site_label
_atom_site_type_symbol
_atom_site_fract_x
_atom_site_fract_y
_atom_site_fract_z
_atom_site_occupancy
Ba1 Ba 0.0000 0.0000 0.1192 1
Cu1 Cu 0.0000 0.5000 0.2500 1
Pb1 Pb 0.0000 0.0000 0.5000 1
```